Here is a geometry-optimized Pr12NiAg6 structure from Alexandria via LeMat-Bulk. Energies are from PBE.

Calculated values
Energy relative to the elements (eV/f.u.): -1.27
Total moment (μB/atom): 0.00

Cell: 8.389 8.389 8.389 Å, 93.63 93.63 93.63°
Positions (direct):
Pr (0.042, 0.929, 0.695)
Pr (0.071, 0.305, 0.958)
Pr (0.184, 0.412, 0.533)
Pr (0.305, 0.958, 0.071)
Pr (0.412, 0.533, 0.184)
Pr (0.467, 0.816, 0.588)
Pr (0.533, 0.184, 0.412)
Pr (0.588, 0.467, 0.816)
Pr (0.695, 0.042, 0.929)
Pr (0.816, 0.588, 0.467)
Pr (0.929, 0.695, 0.042)
Pr (0.958, 0.071, 0.305)
Ni (0.500, 0.500, 0.500)
Ag (0.154, 0.759, 0.357)
Ag (0.241, 0.643, 0.846)
Ag (0.357, 0.154, 0.759)
Ag (0.643, 0.846, 0.241)
Ag (0.759, 0.357, 0.154)
Ag (0.846, 0.241, 0.643)